# 1
Density functional theory data (PBE-GGA) for crystalline VSiAs3 at its relaxed geometry.

Results
Electronic total energy ... -0.1792 hartree per atom

POSCAR file:
```
VSiAs3
1.0
-2.0730 -2.5236 -3.4218
4.0830 -2.2433 -0.8191
-1.1858 -3.3126 3.1615
As Si V
3 1 1
Direct
0.5000 0.0000 0.0000
0.0000 0.0000 0.5000
0.0000 0.5000 0.0000
0.0000 0.0000 0.0000
0.5000 0.5000 0.5000
```

=====

# 2
Density functional theory data (PBE-GGA) for crystalline KPrCd at its relaxed geometry.

Results
Energy of formation from the pure elements ... 0.119 eV/atom

POSCAR file:
```
KPrCd
1.0
3.7799 0.0000 0.0000
-1.8900 3.2644 0.0000
0.0000 0.0000 18.3097
Cd Pr K
2 2 2
Direct
0.2866 0.5731 0.5000
0.6017 0.2033 0.0000
0.6201 0.2402 0.6376
0.6201 0.2402 0.3624
0.2691 0.5381 0.1613
0.2691 0.5381 0.8387
```

=====

# 3
Density functional theory data (PBE-GGA) for crystalline Pr4Nd3Dy2 at its relaxed geometry.

Results
Energy of formation from the pure elements ... 0.069 eV/atom

POSCAR file:
```
Pr4Nd3Dy2
1.0
3.6578 0.0000 0.0000
-1.8289 3.1677 0.0000
0.0000 0.0000 27.3877
Pr Nd Dy
4 3 2
Direct
0.0000 0.0000 0.5445
0.6667 0.3333 0.4327
0.0000 0.0000 0.7687
0.6667 0.3333 0.2116
0.0000 0.0000 0.9832
0.0000 0.0000 0.3196
0.6667 0.3333 0.6557
0.6667 0.3333 0.8746
0.6667 0.3333 0.0865
```

=====

# 4
Density functional theory data (PBE-GGA) for crystalline CaPm3Ru2 at its relaxed geometry.

Results
Energy of formation from the pure elements ... -0.033 eV/atom

POSCAR file:
```
CaPm3Ru2
1.0
-3.1498 0.2295 2.3070
-0.5536 -7.1340 -0.0462
3.9188 3.2520 5.0270
Ru Pm Ca
2 3 1
Direct
0.0000 0.3333 0.6667
0.0000 0.6667 0.3333
0.5000 0.5000 0.0000
0.5000 0.0000 0.5000
0.5000 0.5000 0.5000
0.0000 0.0000 0.0000
```

=====

# 5
Density functional theory data (PBE-GGA) for crystalline CsReF3 at its relaxed geometry.

Results
Electronic total energy ... -0.1863 hartree per atom

POSCAR file:
```
CsReF3
1.0
4.3694 0.0000 0.0000
0.0000 4.3694 0.0000
0.0000 0.0000 4.3694
F Cs Re
3 1 1
Direct
0.0000 0.0000 0.5000
0.5000 0.0000 0.0000
0.0000 0.5000 0.0000
0.5000 0.5000 0.5000
0.0000 0.0000 0.0000
```

=====

# 6
Density functional theory data (PBE-GGA) for crystalline HOs3Se at its relaxed geometry.

Results
Electronic total energy ... -0.2037 hartree per atom

POSCAR file:
```
HOs3Se
1.0
4.5426 0.0000 0.0000
0.0000 4.5426 0.0000
0.0000 0.0000 4.5426
Os Se H
3 1 1
Direct
0.0000 0.0000 0.5000
0.5000 0.0000 0.0000
0.0000 0.5000 0.0000
0.0000 0.0000 0.0000
0.5000 0.5000 0.5000
```

=====

Please write out number 4 again, unchanged.
Density functional theory data (PBE-GGA) for crystalline CaPm3Ru2 at its relaxed geometry.

Results
Energy of formation from the pure elements ... -0.033 eV/atom

POSCAR file:
```
CaPm3Ru2
1.0
-3.1498 0.2295 2.3070
-0.5536 -7.1340 -0.0462
3.9188 3.2520 5.0270
Ru Pm Ca
2 3 1
Direct
0.0000 0.3333 0.6667
0.0000 0.6667 0.3333
0.5000 0.5000 0.0000
0.5000 0.0000 0.5000
0.5000 0.5000 0.5000
0.0000 0.0000 0.0000
```

=====

Question: What is the formula in the third record?
Answer: Pr4Nd3Dy2